Compound: TiAlW3
Source: Alexandria via LeMat-Bulk
Functional: GGA-PBE
Structure: optimized geometry

It has space group Pm-3m (No. 221), with a = 4.5393 Å, b = 4.5393 Å, c = 4.5393 Å, α = 90.00°, β = 90.00° and γ = 90.00°. The asymmetric unit holds Ti at (0.0000, 0.0000, 0.0000), Al at (0.5000, 0.5000, 0.5000) and W at (0.0000, 0.5000, 0.5000).

The energy above the lowest structure with this stoichiometry is 0.000 eV/atom.